Below is a relaxed BaCdMo2 crystal, with properties calculated at the PBE level.

Output
DOS at the Fermi energy   1.3193 states/eV/atom
Mass density   8.66 g/cm3
Energy relative to the elements   1403 meV/atom
E_tot   -4.722 eV/atom
Symmetry   P4/mmm, No. 123

abc: 4.7282 4.7282 3.7882
angles: 90.00 90.00 90.00
Sites, in units of the cell vectors:
Ba (0.0000, 0.0000, 0.0000)
Cd (0.5000, 0.5000, 0.0000)
Mo (0.0000, 0.5000, 0.5000)
Mo (0.5000, 0.0000, 0.5000)

Below is a relaxed BaCdMo2 crystal, with properties calculated at the PBE level.

Output
DOS at the Fermi energy   0.8472 states/eV/atom
Mass density   8.07 g/cm3
Energy relative to the elements   653 meV/atom
E_tot   -5.472 eV/atom
Symmetry   Cmm2, No. 35

abc: 3.0954 3.0954 10.3049
angles: 90.00 90.00 113.09
Sites, in units of the cell vectors:
Ba (0.0000, 0.0000, 0.0000)
Cd (0.5000, 0.5000, 0.6945)
Mo (0.0000, 0.0000, 0.4586)
Mo (0.5000, 0.5000, 0.2842)

Below is a relaxed BaCd4Mo crystal, with properties calculated at the PBE level.

Output
DOS at the Fermi energy   0.6466 states/eV/atom
Mass density   7.50 g/cm3
Energy relative to the elements   318 meV/atom
E_tot   -2.417 eV/atom
Symmetry   F-43m, No. 216

abc: 5.9796 5.9796 5.9796
angles: 60.00 60.00 60.00
Sites, in units of the cell vectors:
Ba (0.0000, 0.0000, 0.0000)
Cd (0.1288, 0.6237, 0.6237)
Cd (0.6237, 0.1288, 0.6237)
Cd (0.6237, 0.6237, 0.1288)
Cd (0.6237, 0.6237, 0.6237)
Mo (0.2500, 0.2500, 0.2500)

Below is a relaxed BaCdMo3 crystal, with properties calculated at the PBE level.

Output
ΔE to the lowest computed polymorph   759 meV/atom
DOS at the Fermi energy   1.7415 states/eV/atom
Mass density   7.14 g/cm3
Energy relative to the elements   2910 meV/atom
E_tot   -4.157 eV/atom
Symmetry   Pm-3m, No. 221

abc: 5.0012 5.0012 5.0012
angles: 90.00 90.00 90.00
Sites, in units of the cell vectors:
Ba (0.0000, 0.0000, 0.0000)
Cd (0.5000, 0.5000, 0.5000)
Mo (0.0000, 0.0000, 0.5000)
Mo (0.0000, 0.5000, 0.0000)
Mo (0.5000, 0.0000, 0.0000)